Cd3Ir | PBE-GGA | optimized geometry

a b c (Å): 2.998 6.825 4.632
angles (deg): 109.75 90.00 102.69
Element x y z (fractional)
Cd  0.250  0.500  0.750
Ir  0.750  0.500  0.250
Cd  0.062  0.124  0.061
Cd  0.438  0.876  0.439

Values from the calculation:
D(E_F) = 2.26 states/eV/f.u.
energy of formation = 0.07 eV/atom
calculated total energy = -11.31 eV/cell
theoretical density = 10.1 g/cm3
crystal system = monoclinic